This record from the Alexandria database describes Li2SiAu after structural relaxation. The functional is PBE.

## Properties
Its final energy is -13.91 eV per cell. The space group is I4/mmm, No. 139. The calculation puts the density of states at the Fermi level at 0.338 states/eV per atom. The formation energy from raw total energies comes out at -0.35 eV per atom. The calculation puts the volume at 59.0 Å³/cell.

Cell: 4.9037 4.9037 4.9037 Å, 134.50 134.50 66.31°
Atoms (fractional coordinates):
Li 0.2500 0.7500 0.5000
Li 0.7500 0.2500 0.5000
Si 0.0000 0.0000 0.0000
Au 0.5000 0.5000 0.0000



This record from the Alexandria database describes Li8SiAu3 after structural relaxation. The functional is PBE.

## Properties
Its final energy is -33.59 eV per cell. The space group is Fmmm, No. 69. The calculation puts the density of states at the Fermi level at 0.265 states/eV per atom. The formation energy from raw total energies comes out at -0.25 eV per atom. The calculation puts the volume at 234.0 Å³/cell.

Cell: 7.5898 7.5734 6.1350 Å, 66.27 65.99 47.73°
Atoms (fractional coordinates):
Li 0.1211 0.6356 0.8789
Li 0.1212 0.6375 0.3625
Li 0.3625 0.8788 0.1212
Li 0.3644 0.8789 0.6356
Li 0.6356 0.1211 0.3644
Li 0.6375 0.1212 0.8788
Li 0.8788 0.3625 0.6375
Li 0.8789 0.3644 0.1211
Si 0.0000 0.0000 0.0000
Au 0.2500 0.2500 0.2500
Au 0.5000 0.5000 0.5000
Au 0.7500 0.7500 0.7500